Density functional theory data (PBE+U) for a relaxed structure of MnCl2O2.

Cell lengths 8.022, 6.959, 3.610 Å; angles 90.00, 107.24, 90.00 degrees
Fractional coordinates of all 10 atoms:
Mn1 0.000 0.000 0.000
Mn2 0.500 0.500 0.000
Cl1 0.222 0.000 0.630
Cl2 0.278 0.500 0.370
Cl3 0.722 0.500 0.630
Cl4 0.778 0.000 0.370
O1 0.000 0.252 0.000
O2 0.000 0.748 0.000
O3 0.500 0.248 0.000
O4 0.500 0.752 0.000

Results
E = -4.34 eV/atom
Mass density = 2.7 g/cm³
Size of the total moment = 2.00 μB/cell